A plane-wave DFT calculation with PBE with a Hubbard U was carried out for a relaxed TbTlV2O6 crystal.

**ρ**: 5.7 Mg/m³
**E**: -7.351 eV per atom
**Size of the total moment**: 0.200 μB per atom

CIF file:
```
data_TbTlV2O6
_cell_length_a 10.920
_cell_length_b 10.215
_cell_length_c 6.007
_cell_angle_alpha 90.00
_cell_angle_beta 103.79
_cell_angle_gamma 90.00
_space_group_name_H-M_alt 'C 1 2/c 1'
_space_group_IT_number 15
_space_group_name_Hall '-C 2yc'
loop_
_atom_site_label
_atom_site_fract_x
_atom_site_fract_y
_atom_site_fract_z
_atom_site_occupancy
Tb1 0.000 0.101 0.250 1
Tl1 0.000 0.330 0.750 1
V1 0.217 0.410 0.306 1
O1 0.113 0.062 0.618 1
O2 0.147 0.255 0.241 1
O3 0.158 0.490 0.540 1
```